(1)
An optimized crystal structure of HfZrPt2. Source: the Alexandria database, functional PBE.

Cell lengths 3.220, 3.220, 7.215 Å; angles 90.00, 90.00, 90.00 degrees
Fractional positions:
Hf 0.500 0.500 0.000
Zr 0.500 0.500 0.500
Pt 0.000 0.000 0.774
Pt 0.000 0.000 0.226

(2)
An optimized crystal structure of HfZr2Pt. Source: the Alexandria database, functional PBE.

Cell lengths 3.352, 3.352, 7.330 Å; angles 90.00, 90.00, 90.00 degrees
Fractional positions:
Hf 0.500 0.500 0.500
Zr 0.000 0.000 0.772
Zr 0.000 0.000 0.228
Pt 0.500 0.500 0.000

Computed properties:
Energy above the lowest structure with this stoichiometry: 0.0 meV per atom

(3)
An optimized crystal structure of Hf3ZrPt12. Source: the Alexandria database, functional PBE.

Cell lengths 4.041, 4.041, 16.112 Å; angles 90.00, 90.00, 90.00 degrees
Fractional positions:
Hf 0.000 0.000 0.250
Hf 0.000 0.000 0.500
Hf 0.000 0.000 0.750
Zr 0.000 0.000 0.000
Pt 0.500 0.500 0.000
Pt 0.500 0.500 0.251
Pt 0.500 0.500 0.500
Pt 0.500 0.500 0.749
Pt 0.500 0.000 0.126
Pt 0.500 0.000 0.375
Pt 0.500 0.000 0.625
Pt 0.500 0.000 0.874
Pt 0.000 0.500 0.126
Pt 0.000 0.500 0.375
Pt 0.000 0.500 0.625
Pt 0.000 0.500 0.874

(4)
An optimized crystal structure of HfZrPt. Source: the Alexandria database, functional PBE.

Cell lengths 3.325, 4.588, 4.588 Å; angles 120.00, 90.00, 90.00 degrees
Fractional positions:
Hf 0.065 0.000 0.000
Zr 0.626 0.667 0.333
Pt 0.308 0.333 0.667

Computed properties:
Energy above the lowest structure with this stoichiometry: 335.7 meV per atom

(5)
An optimized crystal structure of HfZr2Pt. Source: the Alexandria database, functional PBE.

Cell lengths 7.925, 7.925, 6.279 Å; angles 50.87, 50.87, 90.00 degrees
Fractional positions:
Hf 0.500 0.500 0.000
Hf 0.250 0.750 0.500
Zr 0.666 0.125 0.250
Zr 0.084 0.625 0.250
Zr 0.375 0.334 0.750
Zr 0.875 0.916 0.750
Pt 0.000 0.000 0.000
Pt 0.750 0.250 0.500

Computed properties:
Energy above the lowest structure with this stoichiometry: 338.9 meV per atom

(6)
An optimized crystal structure of HfZr2Pt2. Source: the Alexandria database, functional PBE.

Cell lengths 4.499, 4.499, 6.286 Å; angles 69.03, 69.03, 90.00 degrees
Fractional positions:
Hf 0.000 0.000 0.000
Zr 0.750 0.250 0.500
Zr 0.250 0.750 0.500
Pt 0.383 0.383 0.234
Pt 0.617 0.617 0.766

Computed properties:
Energy above the lowest structure with this stoichiometry: 329.6 meV per atom

Number 1: Fermi-level density of states 3.2 states/eV/cell, uncorrected energy -8.624 eV/atom, ΔE_f -3.91 eV per formula unit. Number 2: Fermi-level density of states 4.2 states/eV/cell, uncorrected energy -8.801 eV/atom, ΔE_f -2.11 eV per formula unit. Number 3: Fermi-level density of states 0.3 states/eV/cell, uncorrected energy -8.021 eV/atom, ΔE_f -17.43 eV per formula unit. Number 4: Fermi-level density of states 2.9 states/eV/cell, uncorrected energy -8.622 eV/atom, ΔE_f -1.32 eV per formula unit. Number 5: Fermi-level density of states 8.4 states/eV/cell, uncorrected energy -8.462 eV/atom, ΔE_f -0.76 eV per formula unit. Number 6: Fermi-level density of states 4.2 states/eV/cell, uncorrected energy -8.343 eV/atom, ΔE_f -2.58 eV per formula unit.